Here is crystalline LaDy5Tm12 at its relaxed geometry from Alexandria via LeMat-Bulk. Energies are from PBE.

abc: 11.4763 10.3578 10.9291
angles: 90.00 119.03 90.00
With the nearest neighbours (Å) after each atom.
Space group C2/m (No. 12)
Inequivalent atoms, fractional coordinates:
La (0.0000, 0.0000, 0.0000) (multiplicity 2)  10 Tm 3.44-3.63, 2 Dy 3.48
Dy (0.0000, 0.1668, 0.5000) (multiplicity 4)  8 Tm 3.32-3.54, 2 Dy 3.45-3.46
Dy (0.0000, 0.3355, 0.0000) (multiplicity 4)  10 Tm 3.40-3.63, 1 Dy 3.41, 1 La 3.48
Dy (0.0000, 0.5000, 0.5000) (multiplicity 2)  8 Tm 3.31-3.53, 2 Dy 3.45
Tm (0.1582, 0.5000, 0.8469) (multiplicity 4)  3 Dy 3.31-3.46, 7 Tm 3.42-3.57, 1 La 3.44
Tm (0.1621, 0.1669, 0.8473) (multiplicity 8)  3 Dy 3.32-3.51, 7 Tm 3.41-3.57, 1 La 3.50
Tm (0.1929, 0.5000, 0.3285) (multiplicity 4)  7 Tm 3.45-3.73, 5 Dy 3.53-3.60
Tm (0.1939, 0.1672, 0.3296) (multiplicity 8)  7 Tm 3.45-3.73, 4 Dy 3.52-3.63, 1 La 3.63

## Properties
N(E_F): 1.7575 states/eV per atom
V: 31.6 Å³ per atom
Energy relative to the elements: 0.138 eV/atom